Arrangement a

{
  "formula": "Mo5Cl",
  "functional": "GGA-PBE",
  "state": "relaxed",
  "lattice": [[0.000, 3.717, 3.717], [3.717, 0.000, 3.717], [3.717, 3.717, 0.000]],
  "species": ["Cl", "Mo", "Mo", "Mo", "Mo", "Mo"],
  "frac_coords": [[0.000, 0.000, 0.000], [0.750, 0.750, 0.750], [0.876, 0.375, 0.375], [0.375, 0.876, 0.375], [0.375, 0.375, 0.375], [0.375, 0.375, 0.876]],
  "magnetic_moment_mub_per_fu": 0.00,
  "dos_ef_per_ev_fu": 6.0,
  "mass_density_g_cm3": 8.33,
  "sg": "F-43m"
}

=====

Arrangement b

{
  "formula": "Mo5Cl",
  "functional": "GGA-PBE",
  "state": "relaxed",
  "lattice": [[-0.104, -0.236, -6.761], [-0.235, -2.829, 6.141], [-4.785, 0.518, 0.055]],
  "species": ["Mo", "Mo", "Mo", "Mo", "Mo", "Cl"],
  "frac_coords": [[0.677, 0.323, 0.000], [0.325, 0.675, 0.000], [0.779, 0.221, 0.500], [0.110, 0.890, 0.500], [0.429, 0.571, 0.500], [0.013, 0.987, 0.000]],
  "magnetic_moment_mub_per_fu": 0.00,
  "dos_ef_per_ev_fu": 5.4,
  "mass_density_g_cm3": 8.59,
  "sg": "Amm2"
}

=====

Arrangement c

{
  "formula": "Mo5Cl",
  "functional": "GGA-PBE",
  "state": "relaxed",
  "lattice": [[2.530, -4.382, 0.000], [2.530, 4.382, 0.000], [0.000, 0.000, 4.419]],
  "species": ["Cl", "Mo", "Mo", "Mo", "Mo", "Mo"],
  "frac_coords": [[0.000, 0.000, 0.500], [0.667, 0.333, 0.500], [0.333, 0.667, 0.500], [0.000, 0.644, 0.000], [0.356, 0.356, 0.000], [0.644, 0.000, 0.000]],
  "magnetic_moment_mub_per_fu": 0.00,
  "dos_ef_per_ev_fu": 7.6,
  "mass_density_g_cm3": 8.73,
  "sg": "P-62m"
}

=====

Arrangement d

{
  "formula": "Mo5Cl",
  "functional": "GGA-PBE",
  "state": "relaxed",
  "lattice": [[1.530, 5.615, -0.015], [-1.530, 5.615, -0.015], [0.000, 1.538, 5.563]],
  "species": ["Mo", "Mo", "Mo", "Mo", "Mo", "Cl"],
  "frac_coords": [[0.956, 0.956, 0.617], [0.668, 0.668, 0.663], [0.335, 0.335, 0.357], [0.616, 0.616, 0.241], [0.280, 0.280, 0.913], [0.978, 0.978, 0.043]],
  "magnetic_moment_mub_per_fu": 0.00,
  "dos_ef_per_ev_fu": 5.3,
  "mass_density_g_cm3": 8.94,
  "sg": "Cm"
}

=====

Pick arrangement d: it beats the second-best structure by 62 meV per atom.

=====

Arrangement a

{
  "formula": "MoN2Cl2",
  "functional": "GGA-PBE",
  "state": "relaxed",
  "lattice": [[-1.194, 1.974, 1.670], [-0.630, -2.006, 1.921], [6.737, 1.312, 5.692]],
  "species": ["N", "N", "Cl", "Cl", "Mo"],
  "frac_coords": [[0.250, 0.750, 0.500], [0.750, 0.250, 0.500], [0.412, 0.412, 0.177], [0.588, 0.588, 0.823], [0.000, 0.000, 0.000]],
  "magnetic_moment_mub_per_fu": 0.00,
  "dos_ef_per_ev_fu": 3.2,
  "mass_density_g_cm3": 4.59,
  "sg": "I4/mmm"
}

=====

Arrangement b

{
  "formula": "MoN2Cl2",
  "functional": "GGA-PBE",
  "state": "relaxed",
  "lattice": [[6.500, 0.000, 0.000], [0.000, 6.500, 0.000], [0.000, 0.000, 3.532]],
  "species": ["Cl", "Cl", "Cl", "Cl", "Mo", "Mo", "N", "N", "N", "N"],
  "frac_coords": [[0.665, 0.165, 0.000], [0.335, 0.835, 0.000], [0.165, 0.335, 0.000], [0.835, 0.665, 0.000], [0.000, 0.000, 0.000], [0.500, 0.500, 0.000], [0.246, 0.254, 0.500], [0.254, 0.754, 0.500], [0.746, 0.246, 0.500], [0.754, 0.746, 0.500]],
  "magnetic_moment_mub_per_fu": 1.71,
  "dos_ef_per_ev_fu": 3.1,
  "mass_density_g_cm3": 4.34,
  "sg": "P4/mbm"
}

=====

Pick arrangement a: it beats the second-best structure by 296 meV per atom.

=====

Arrangement a

{
  "formula": "MoSe2NCl",
  "functional": "GGA-PBE",
  "state": "relaxed",
  "lattice": [[5.055, 0.000, 0.000], [0.000, 5.055, 0.000], [0.000, 0.000, 3.845]],
  "species": ["Mo", "N", "Cl", "Se", "Se"],
  "frac_coords": [[0.000, 0.000, 0.000], [0.000, 0.000, 0.500], [0.500, 0.500, 0.500], [0.500, 0.000, 0.000], [0.000, 0.500, 0.000]],
  "magnetic_moment_mub_per_fu": 1.00,
  "dos_ef_per_ev_fu": 4.7,
  "mass_density_g_cm3": 5.13,
  "sg": "P4/mmm"
}

=====

Arrangement b

{
  "formula": "MoSe2NCl",
  "functional": "GGA-PBE",
  "state": "relaxed",
  "lattice": [[5.090, 0.000, 0.000], [0.000, 5.090, 0.000], [0.000, 0.000, 3.389]],
  "species": ["Mo", "Cl", "N", "Se", "Se"],
  "frac_coords": [[0.500, 0.500, 0.500], [0.000, 0.000, 0.000], [0.000, 0.000, 0.500], [0.500, 0.000, 0.000], [0.000, 0.500, 0.000]],
  "magnetic_moment_mub_per_fu": 2.68,
  "dos_ef_per_ev_fu": 3.8,
  "mass_density_g_cm3": 5.74,
  "sg": "P4/mmm"
}

=====

Pick arrangement a: it beats the second-best structure by 1382 meV per atom.

=====

Arrangement a

{
  "formula": "TeMoN2Cl",
  "functional": "GGA-PBE",
  "state": "relaxed",
  "lattice": [[4.078, 0.000, 0.000], [0.000, 4.078, 0.000], [0.000, 0.000, 5.059]],
  "species": ["Te", "N", "N", "Cl", "Mo"],
  "frac_coords": [[0.000, 0.000, 0.500], [0.000, 0.500, 0.000], [0.500, 0.000, 0.000], [0.000, 0.000, 0.000], [0.500, 0.500, 0.500]],
  "magnetic_moment_mub_per_fu": 1.42,
  "dos_ef_per_ev_fu": 2.5,
  "mass_density_g_cm3": 5.66,
  "sg": "P4/mmm"
}

=====

Arrangement b

{
  "formula": "TeMoN2Cl",
  "functional": "GGA-PBE",
  "state": "relaxed",
  "lattice": [[3.956, 0.000, 0.000], [0.000, 3.956, 0.000], [0.000, 0.000, 5.701]],
  "species": ["N", "N", "Te", "Mo", "Cl"],
  "frac_coords": [[0.500, 0.000, 0.000], [0.000, 0.500, 0.000], [0.000, 0.000, 0.500], [0.000, 0.000, 0.000], [0.500, 0.500, 0.500]],
  "magnetic_moment_mub_per_fu": 0.81,
  "dos_ef_per_ev_fu": 1.3,
  "mass_density_g_cm3": 5.34,
  "sg": "P4/mmm"
}

=====

Pick arrangement b: it beats the second-best structure by 1913 meV per atom.